Density functional theory data (GGA+U) for crystalline Rb3TlMo2O8 at its relaxed geometry.

raw total energy	-5.957	eV per atom

Cell lengths 6.520, 6.520, 8.385 Å; angles 90.00, 90.00, 120.00 degrees
Positions (direct):
O: 0.817 0.183 0.720
Mo: 0.333 0.667 0.204
Tl: 0.000 0.000 0.500
Rb: 0.333 0.667 0.671
O: 0.183 0.367 0.280
Rb: 0.000 0.000 0.000
O: 0.333 0.667 0.991
Mo: 0.667 0.333 0.796
O: 0.667 0.333 0.009
Rb: 0.667 0.333 0.329
O: 0.367 0.183 0.720
O: 0.183 0.817 0.280
O: 0.633 0.817 0.280
O: 0.817 0.633 0.720